ScNi2TeO6: relaxed, GGA+U.

Computed properties:
VASP energy: -118.9 eV for the cell shown
V: 227.8 Å³/cell
Calculated density: 5.6 g cm⁻³
DOS at the Fermi energy: 0.44 states/eV per atom

Lattice parameters (Å, degrees): 5.310 5.526 9.324 90.00 123.64 90.00
Positions (direct):
Sc (0.000, 0.000, 0.000)
Sc (0.000, 0.500, 0.500)
Ni (0.282, 0.049, 0.786)
Ni (0.282, 0.451, 0.286)
Ni (0.718, 0.549, 0.714)
Ni (0.718, 0.951, 0.214)
Te (0.500, 0.000, 0.500)
Te (0.500, 0.500, 0.000)
O (0.111, 0.080, 0.251)
O (0.111, 0.420, 0.751)
O (0.277, 0.677, 0.094)
O (0.277, 0.823, 0.594)
O (0.389, 0.173, 0.048)
O (0.389, 0.327, 0.548)
O (0.611, 0.673, 0.452)
O (0.611, 0.827, 0.952)
O (0.723, 0.177, 0.406)
O (0.723, 0.323, 0.906)
O (0.889, 0.580, 0.249)
O (0.889, 0.920, 0.749)